Computed, not measured: a geometry-optimized Tb9Pm4Hg11 structure at the GGA-PBE level of DFT.

Calculated values
The electronic total energy comes out at -73.0 eV for the cell shown. The total magnetic moment is 0.05 μB/atom.

```
24
Lattice="3.586 0.000 0.000 0.000 12.863 -5.008 0.000 0.450 13.796" Properties=species:S:1:pos:R:3 pbc="T T T"
Hg 0.000 2.856 1.886
Tb 1.793 12.965 6.061
Hg 0.000 8.291 1.918
Pm 1.793 3.442 4.563
Tb 1.793 5.298 9.817
Hg 0.000 2.694 10.398
Hg 0.000 12.477 3.388
Pm 1.793 5.548 1.372
Tb 1.793 2.205 7.775
Pm 1.793 9.872 4.226
Tb 1.793 11.109 1.014
Hg 0.000 0.000 0.000
Hg 0.000 10.620 -1.609
Tb 1.793 2.645 -0.751
Hg 0.000 5.295 -1.353
Hg 0.000 0.837 5.401
Hg 0.000 8.019 10.142
Pm 1.793 7.766 7.417
Hg 0.000 5.022 6.871
Tb 1.793 10.669 9.540
Hg 0.000 10.458 6.903
Tb 1.793 0.349 2.728
Tb 1.793 8.016 -1.028
Tb 1.793 6.657 4.394
```